Material: Zr2ScTe
Method: DFT, GGA-PBE
State: optimized geometry

## Properties
SG = No. 122
Total magnetic moment = 0.0 μB per formula unit
Raw formation energy = -14 meV per atom

Cell: 6.6020 6.6020 6.6020 Å, 100.91 100.91 128.41°
Element x y z (fractional)
Zr  0.0878  0.6250  0.9628
Zr  0.3750  0.3378  0.4628
Zr  0.6622  0.1250  0.0372
Zr  0.8750  0.9122  0.5372
Sc  0.2500  0.7500  0.5000
Sc  0.5000  0.5000  0.0000
Te  0.0000  0.0000  0.0000
Te  0.7500  0.2500  0.5000